## w
## KIn6Te8 (PBE)

Data for a relaxed structure of KIn6Te8.

Properties
The density of states at the Fermi level comes out at 8.049 states/eV per cell. For the magnetization, the calculation gives 0.00 μB/f.u. Its space-group type is R-3.

Cell: 8.2805 8.2805 8.2805 Å, 96.63 96.63 96.63°
Fractional coordinates of all 15 atoms:
In 0.3727 0.8295 0.6851
In 0.3149 0.6273 0.1705
In 0.6851 0.3727 0.8295
In 0.6273 0.1705 0.3149
In 0.8295 0.6851 0.3727
In 0.1705 0.3149 0.6273
Te 0.8602 0.3782 0.1616
Te 0.1616 0.8602 0.3782
Te 0.3782 0.1616 0.8602
Te 0.1398 0.6218 0.8384
Te 0.6218 0.8384 0.1398
Te 0.3263 0.3263 0.3263
Te 0.6737 0.6737 0.6737
Te 0.8384 0.1398 0.6218
K 0.0000 0.0000 0.0000

=====

## x
## KIn6Te8 (PBE)

Data for a relaxed structure of KIn6Te8.

Properties
The density of states at the Fermi level comes out at 7.849 states/eV per cell. For the magnetization, the calculation gives 0.00 μB/f.u. Its space-group type is Fm-3m.

Cell: 10.1448 10.1448 10.1448 Å, 60.00 60.00 60.00°
Fractional coordinates of all 15 atoms:
Te 0.8597 0.8597 0.8597
Te 0.1403 0.5791 0.1403
Te 0.5791 0.1403 0.1403
Te 0.1403 0.1403 0.5791
Te 0.4209 0.8597 0.8597
Te 0.8597 0.8597 0.4209
Te 0.1403 0.1403 0.1403
Te 0.8597 0.4209 0.8597
K 0.0000 0.0000 0.0000
In 0.5000 0.0000 0.0000
In 0.5000 0.5000 0.0000
In 0.5000 0.0000 0.5000
In 0.0000 0.5000 0.5000
In 0.0000 0.0000 0.5000
In 0.0000 0.5000 0.0000

=====

Structures ranked by computed energy, the most stable listed first: w, x.

=====

## w
## K3In2Te4 (PBE)

Data for a relaxed structure of K3In2Te4.

Properties
The density of states at the Fermi level comes out at 1.392 states/eV per cell. For the magnetization, the calculation gives 0.00 μB/f.u. Its space-group type is C2/m.

Cell: 5.1245 8.2611 11.6274 Å, 124.10 90.00 108.07°
Fractional coordinates of all 9 atoms:
K 0.0000 0.0000 0.0000
K 0.6239 0.2477 0.7643
K 0.3761 0.7523 0.2357
Te 0.1016 0.2032 0.3806
Te 0.8984 0.7968 0.6194
Te 0.3061 0.6122 0.8823
Te 0.6939 0.3878 0.1177
In 0.3158 0.6316 0.6517
In 0.6842 0.3684 0.3483

=====

## x
## K3In2Te4 (PBE)

Data for a relaxed structure of K3In2Te4.

Properties
The density of states at the Fermi level comes out at 4.798 states/eV per cell. For the magnetization, the calculation gives 0.00 μB/f.u. Its space-group type is Pnnm.

Cell: 5.1427 7.6584 18.4025 Å, 90.00 90.00 90.00°
Fractional coordinates of all 18 atoms:
Te 0.0000 0.2372 0.4362
Te 0.5000 0.7672 0.3417
Te 0.0000 0.2672 0.1583
Te 0.0000 0.7328 0.8417
Te 0.5000 0.2328 0.6583
Te 0.0000 0.7628 0.5638
Te 0.5000 0.2628 0.9362
Te 0.5000 0.7372 0.0638
K 0.5000 0.2430 0.3031
K 0.0000 0.7430 0.1969
K 0.0000 0.2570 0.8031
K 0.5000 0.7570 0.6969
K 0.0000 0.0000 0.0000
K 0.5000 0.5000 0.5000
In 0.5000 0.3641 0.0886
In 0.5000 0.6359 0.9114
In 0.0000 0.8641 0.4114
In 0.0000 0.1359 0.5886

=====

Structures ranked by computed energy, the most stable listed first: x, w.

=====

## w
## KTiIn3 (PBE)

Data for a relaxed structure of KTiIn3.

Properties
The density of states at the Fermi level comes out at 4.947 states/eV per cell. For the magnetization, the calculation gives 1.57 μB/f.u. Its space-group type is Pm-3m.

Cell: 5.4747 5.4747 5.4747 Å, 90.00 90.00 90.00°
Fractional coordinates of all 5 atoms:
In 0.0000 0.5000 0.0000
In 0.0000 0.0000 0.5000
In 0.5000 0.0000 0.0000
K 0.5000 0.5000 0.5000
Ti 0.0000 0.0000 0.0000

=====

## x
## KTiIn3 (PBE)

Data for a relaxed structure of KTiIn3.

Properties
The density of states at the Fermi level comes out at 7.458 states/eV per cell. For the magnetization, the calculation gives 0.00 μB/f.u. Its space-group type is Pm-3m.

Cell: 5.6385 5.6385 5.6385 Å, 90.00 90.00 90.00°
Fractional coordinates of all 5 atoms:
In 0.0000 0.0000 0.5000
In 0.5000 0.0000 0.0000
In 0.0000 0.5000 0.0000
Ti 0.5000 0.5000 0.5000
K 0.0000 0.0000 0.0000

=====

Structures ranked by computed energy, the most stable listed first: w, x.

=====

## w
## KTl5In (PBE)

Data for a relaxed structure of KTl5In.

Properties
The density of states at the Fermi level comes out at 2.757 states/eV per cell. For the magnetization, the calculation gives 0.00 μB/f.u. Its space-group type is P4/mmm.

Cell: 4.7831 4.7831 10.6765 Å, 90.00 90.00 90.00°
Fractional coordinates of all 7 atoms:
K 0.0000 0.0000 0.5000
In 0.5000 0.5000 0.0000
Tl 0.5000 0.0000 0.7701
Tl 0.0000 0.5000 0.7701
Tl 0.5000 0.0000 0.2299
Tl 0.0000 0.5000 0.2299
Tl 0.0000 0.0000 0.0000

=====

## x
## KTl5In (PBE)

Data for a relaxed structure of KTl5In.

Properties
The density of states at the Fermi level comes out at 3.506 states/eV per cell. For the magnetization, the calculation gives 0.00 μB/f.u. Its space-group type is Cmmm.

Cell: 5.7640 5.7640 8.0465 Å, 90.00 90.00 110.43°
Fractional coordinates of all 7 atoms:
K 0.0000 0.0000 0.0000
Tl 0.0000 0.5000 0.2788
Tl 0.0000 0.5000 0.7212
Tl 0.0000 0.0000 0.5000
Tl 0.5000 0.0000 0.2788
Tl 0.5000 0.0000 0.7212
In 0.5000 0.5000 0.5000

=====

Structures ranked by computed energy, the most stable listed first: w, x.

=====

## w
## KTlIn2 (PBE)

Data for a relaxed structure of KTlIn2.

Properties
The density of states at the Fermi level comes out at 3.008 states/eV per cell. For the magnetization, the calculation gives 0.00 μB/f.u. Its space-group type is Cm.

Cell: 5.2905 6.6979 7.8718 Å, 88.71 90.00 113.26°
Fractional coordinates of all 8 atoms:
In 0.7832 0.5664 0.0931
In 0.7619 0.5238 0.4882
In 0.0272 0.0544 0.9840
In 0.6126 0.2252 0.8106
Tl 0.0218 0.0435 0.5899
Tl 0.1945 0.3891 0.2776
K 0.3205 0.6409 0.7864
K 0.4824 0.9648 0.2876

=====

## x
## KTlIn2 (PBE)

Data for a relaxed structure of KTlIn2.

Properties
The density of states at the Fermi level comes out at 1.849 states/eV per cell. For the magnetization, the calculation gives 0.00 μB/f.u. Its space-group type is C2/m.

Cell: 6.4553 6.6610 3.4326 Å, 79.63 80.78 116.31°
Fractional coordinates of all 4 atoms:
K 0.0000 0.5000 0.5000
Tl 0.5000 0.5000 0.0000
In 0.5000 0.0000 0.5000
In 0.0000 0.0000 0.0000

=====

Structures ranked by computed energy, the most stable listed first: w, x.

=====

## w
## KTlIn2 (PBE)

Data for a relaxed structure of KTlIn2.

Properties
The density of states at the Fermi level comes out at 2.321 states/eV per cell. For the magnetization, the calculation gives 0.00 μB/f.u. Its space-group type is R-3m.

Cell: 11.4335 11.4335 11.4335 Å, 18.13 18.13 18.13°
Fractional coordinates of all 4 atoms:
In 0.0060 0.0060 0.0060
In 0.4940 0.4940 0.4940
Tl 0.7500 0.7500 0.7500
K 0.2500 0.2500 0.2500

=====

## x
## KTlIn2 (PBE)

Data for a relaxed structure of KTlIn2.

Properties
The density of states at the Fermi level comes out at 1.430 states/eV per cell. For the magnetization, the calculation gives 0.00 μB/f.u. Its space-group type is R3m.

Cell: 5.1366 5.1366 7.0887 Å, 68.76 68.76 60.00°
Fractional coordinates of all 4 atoms:
In 0.0482 0.0482 0.8554
In 0.2794 0.2794 0.1617
K 0.4927 0.4927 0.5219
Tl 0.6797 0.6797 0.9610

=====

## y
## KTlIn2 (PBE)

Data for a relaxed structure of KTlIn2.

Properties
The density of states at the Fermi level comes out at 1.352 states/eV per cell. For the magnetization, the calculation gives 0.00 μB/f.u. Its space-group type is Pm.

Cell: 4.9848 3.4101 7.7797 Å, 76.57 90.00 90.00°
Fractional coordinates of all 4 atoms:
K 0.0000 0.4752 0.4949
Tl 0.5000 0.7909 0.7951
In 0.0000 0.0855 0.0003
In 0.5000 0.1484 0.2097

=====

Structures ranked by computed energy, the most stable listed first: y, x, w.

=====

## w
## KTl3In3 (PBE)

Data for a relaxed structure of KTl3In3.

Properties
The density of states at the Fermi level comes out at 3.408 states/eV per cell. For the magnetization, the calculation gives 0.00 μB/f.u. Its space-group type is R-3.

Cell: 7.4123 7.4123 10.6773 Å, 69.69 69.69 60.00°
Fractional coordinates of all 14 atoms:
Tl 0.2849 0.1674 0.7828
Tl 0.2351 0.7151 0.2172
Tl 0.8326 0.2351 0.2172
Tl 0.7649 0.2849 0.7828
Tl 0.1674 0.7649 0.7828
Tl 0.7151 0.8326 0.2172
In 0.0744 0.5871 0.5831
In 0.2446 0.9256 0.4169
In 0.7554 0.0744 0.5831
In 0.4129 0.2446 0.4169
In 0.9256 0.4129 0.4169
In 0.5871 0.7554 0.5831
K 0.6917 0.6917 0.9249
K 0.3083 0.3083 0.0751

=====

## x
## KTl3In3 (PBE)

Data for a relaxed structure of KTl3In3.

Properties
The density of states at the Fermi level comes out at 7.707 states/eV per cell. For the magnetization, the calculation gives 0.00 μB/f.u. Its space-group type is Pm-3n.

Cell: 8.3598 8.3598 8.3598 Å, 90.00 90.00 90.00°
Fractional coordinates of all 14 atoms:
In 0.7500 0.0000 0.5000
In 0.2500 0.0000 0.5000
In 0.5000 0.7500 0.0000
In 0.0000 0.5000 0.2500
In 0.0000 0.5000 0.7500
In 0.5000 0.2500 0.0000
Tl 0.2500 0.5000 0.0000
Tl 0.5000 0.0000 0.7500
Tl 0.5000 0.0000 0.2500
Tl 0.7500 0.5000 0.0000
Tl 0.0000 0.2500 0.5000
Tl 0.0000 0.7500 0.5000
K 0.5000 0.5000 0.5000
K 0.0000 0.0000 0.0000

=====

Structures ranked by computed energy, the most stable listed first: w, x.

=====

## w
## K2Tl2In (PBE)

Data for a relaxed structure of K2Tl2In.

Properties
The density of states at the Fermi level comes out at 7.441 states/eV per cell. For the magnetization, the calculation gives 0.00 μB/f.u. Its space-group type is P4/mbm.

Cell: 8.0325 8.0325 5.8937 Å, 90.00 90.00 90.00°
Fractional coordinates of all 10 atoms:
In 0.5000 0.5000 0.0000
In 0.0000 0.0000 0.0000
K 0.8221 0.3221 0.5000
K 0.6779 0.8221 0.5000
K 0.1779 0.6779 0.5000
K 0.3221 0.1779 0.5000
Tl 0.6357 0.1357 0.0000
Tl 0.1357 0.3643 0.0000
Tl 0.3643 0.8643 0.0000
Tl 0.8643 0.6357 0.0000

=====

## x
## K2Tl2In (PBE)

Data for a relaxed structure of K2Tl2In.

Properties
The density of states at the Fermi level comes out at 5.102 states/eV per cell. For the magnetization, the calculation gives 0.00 μB/f.u. Its space-group type is C2/c.

Cell: 7.1537 7.1537 8.6242 Å, 74.31 74.31 66.55°
Fractional coordinates of all 10 atoms:
Tl 0.0652 0.7636 0.9507
Tl 0.9348 0.2364 0.0493
Tl 0.7636 0.0652 0.4507
Tl 0.2364 0.9348 0.5493
K 0.2537 0.3990 0.6538
K 0.6010 0.7463 0.8462
K 0.7463 0.6010 0.3462
K 0.3990 0.2537 0.1538
In 0.1886 0.8114 0.2500
In 0.8114 0.1886 0.7500

=====

Structures ranked by computed energy, the most stable listed first: x, w.